# 1
Density functional theory data (PBE-GGA) for a relaxed structure of CuTcTe2N.

Summary:
- SG = No. 123
- energy above the most stable polymorph in this dataset (eV/atom) = 0.6498

Cell lengths 5.2633, 5.2633, 3.4715 Å; angles 90.00, 90.00, 90.00 degrees
With the nearest neighbours (Å) after each atom.
Positions (direct):
Cu1 0.0000 0.0000 0.0000  2 N 1.74
Tc1 0.5000 0.5000 0.5000  8 Te 3.15, 2 Tc 3.47
Te1 0.0000 0.5000 0.0000  2 Cu 2.63
Te2 0.5000 0.0000 0.0000  2 Cu 2.63
N1 0.0000 0.0000 0.5000  2 Cu 1.74

---

# 2
Density functional theory data (PBE-GGA) for a relaxed structure of CuTcTe2N.

Summary:
- SG = No. 123
- energy above the most stable polymorph in this dataset (eV/atom) = 0.0000

Cell lengths 5.3590, 5.3590, 3.6877 Å; angles 90.00, 90.00, 90.00 degrees
With the nearest neighbours (Å) after each atom.
Positions (direct):
Cu1 0.0000 0.0000 0.0000  8 Te 3.25
Tc1 0.5000 0.5000 0.5000  2 N 1.84
Te1 0.0000 0.5000 0.5000  2 Tc 2.68
Te2 0.5000 0.0000 0.5000  2 Tc 2.68
N1 0.5000 0.5000 0.0000  2 Tc 1.84

---

# 3
Density functional theory data (PBE-GGA) for a relaxed structure of TlCu2TcN.

Summary:
- SG = No. 123

Cell lengths 4.9046, 4.9046, 4.1273 Å; angles 90.00, 90.00, 90.00 degrees
With the nearest neighbours (Å) after each atom.
Positions (direct):
Tl1 0.0000 0.0000 0.0000  2 N 2.06
Cu1 0.0000 0.5000 0.0000  2 Tl 2.45
Cu2 0.5000 0.0000 0.0000  2 Tl 2.45
Tc1 0.5000 0.5000 0.5000  8 Cu 3.21, 4 N 3.47
N1 0.0000 0.0000 0.5000  2 Tl 2.06

---

# 4
Density functional theory data (PBE-GGA) for a relaxed structure of VCuTcN2.

Summary:
- SG = No. 123

Cell lengths 3.6252, 3.6252, 4.9196 Å; angles 90.00, 90.00, 90.00 degrees
With the nearest neighbours (Å) after each atom.
Positions (direct):
V1 0.0000 0.0000 0.0000  4 Tc 2.56
Cu1 0.5000 0.5000 0.5000  4 N 1.81
Tc1 0.5000 0.5000 0.0000  2 Cu 2.46, 4 V 2.56
N1 0.0000 0.5000 0.5000  2 Cu 1.81
N2 0.5000 0.0000 0.5000  2 Cu 1.81

---

no.,raw formation energy (eV per atom)
1,1.113
2,0.463
3,2.053
4,1.919